## BeNi2Au (GGA-PBEsol)

Data for a relaxed BeNi2Au crystal.

abc: 2.670 2.670 6.283
angles: 90.00 90.00 90.00
Element x y z (fractional)
Ni: 0.000 0.000 0.303
Ni: 0.000 0.000 0.697
Au: 0.500 0.500 0.000
Be: 0.500 0.500 0.500

**Theoretical density**: 11.99 Mg/m³
**DFT total energy**: -20.96 eV/f.u.